NaTlCrO3 PBE+U optimized geometry; E = -68.35 eV per cell; magnetization = 2.0 μB per formula unit; symmetry = Cmcm
1.0
2.9495 -5.4990 0.0000
2.9495 5.4990 0.0000
0.0000 0.0000 5.5515
Na Tl Cr O
2 2 2 6
direct
0.0759 0.9241 0.7500
0.9241 0.0759 0.2500
0.2441 0.7559 0.2500
0.7559 0.2441 0.7500
0.4527 0.5473 0.7500
0.5473 0.4527 0.2500
0.2884 0.2884 0.0000
0.2884 0.2884 0.5000
0.2912 0.7088 0.7500
0.7088 0.2912 0.2500
0.7116 0.7116 0.0000
0.7116 0.7116 0.5000